Model one:
PrSm4Ho6 | PBE | optimized geometry

Cell: 9.725 9.725 9.725 Å, 140.09 140.09 57.72°
Positions (direct):
1 Pr 0.000 0.000 0.000
2 Sm 0.014 0.014 0.378
3 Sm 0.364 0.986 0.000
4 Sm 0.636 0.636 0.622
5 Sm 0.986 0.364 0.000
6 Ho 0.000 0.500 0.500
7 Ho 0.194 0.551 0.000
8 Ho 0.449 0.449 0.643
9 Ho 0.500 0.000 0.500
10 Ho 0.551 0.194 0.000
11 Ho 0.806 0.806 0.357

---

Model two:
PrSm4Ho6 | PBE | optimized geometry

Cell: 10.988 10.988 3.532 Å, 90.00 90.00 120.00°
Positions (direct):
1 Pr 0.000 0.000 0.000
2 Sm 0.333 0.667 0.000
3 Sm 0.396 0.198 0.500
4 Sm 0.802 0.198 0.500
5 Sm 0.802 0.604 0.500
6 Ho 0.007 0.504 0.000
7 Ho 0.171 0.342 0.500
8 Ho 0.171 0.829 0.500
9 Ho 0.496 0.504 0.000
10 Ho 0.496 0.993 0.000
11 Ho 0.658 0.829 0.500

---

Bottom line: model two, by a margin of 15.5 kJ/mol of atoms.

---

Model one:
PrSmHo5 | PBE | optimized geometry

Cell: 7.858 7.858 7.858 Å, 137.01 113.24 82.76°
Positions (direct):
1 Pr 0.000 0.000 0.000
2 Sm 0.500 0.500 0.000
3 Ho 0.180 0.500 0.680
4 Ho 0.253 0.253 0.000
5 Ho 0.500 0.000 0.500
6 Ho 0.747 0.747 0.000
7 Ho 0.820 0.500 0.320

---

Model two:
PrSmHo5 | PBE | optimized geometry

Cell: 6.770 6.770 12.124 Å, 106.56 106.56 60.62°
Positions (direct):
1 Pr 0.027 0.973 0.750
2 Pr 0.973 0.027 0.250
3 Sm 0.000 0.500 0.000
4 Sm 0.500 0.000 0.500
5 Ho 0.141 0.418 0.748
6 Ho 0.198 0.645 0.501
7 Ho 0.355 0.802 0.999
8 Ho 0.411 0.589 0.250
9 Ho 0.418 0.141 0.248
10 Ho 0.582 0.859 0.752
11 Ho 0.589 0.411 0.750
12 Ho 0.645 0.198 0.001
13 Ho 0.802 0.355 0.499
14 Ho 0.859 0.582 0.252

---

Bottom line: model two, by a margin of 87.2 kJ/mol of atoms.